(1)
Material: La3Pr5Sb8
Method: DFT, GGA-PBE
State: relaxed

Results
* raw formation energy: -19.6 eV/f.u.

a b c (Å): 9.1688 9.1688 9.1688
angles (deg): 60.01 60.01 60.01
Fractional positions:
La 0.0000 0.5000 0.5000
La 0.5000 0.0000 0.5000
La 0.5000 0.5000 0.0000
Pr 0.0000 0.0000 0.0000
Pr 0.0000 0.0000 0.5000
Pr 0.0000 0.5000 0.0000
Pr 0.5000 0.0000 0.0000
Pr 0.5000 0.5000 0.5000
Sb 0.2485 0.7500 0.7500
Sb 0.2492 0.2492 0.2492
Sb 0.2500 0.2500 0.7515
Sb 0.2500 0.7515 0.2500
Sb 0.7500 0.2485 0.7500
Sb 0.7500 0.7500 0.2485
Sb 0.7508 0.7508 0.7508
Sb 0.7515 0.2500 0.2500

(2)
Material: Mg2Sc8Tl
Method: DFT, GGA-PBE
State: relaxed

Results
* energy of formation: 0.10 eV per atom

a b c (Å): 8.2951 8.2951 5.1557
angles (deg): 103.41 103.41 120.61
Fractional positions:
Mg 0.1950 0.8050 0.0000
Mg 0.8050 0.1950 0.0000
Sc 0.0915 0.0915 0.2993
Sc 0.1727 0.3978 0.8577
Sc 0.2904 0.7096 0.5000
Sc 0.3978 0.1727 0.8577
Sc 0.6022 0.8273 0.1423
Sc 0.7096 0.2904 0.5000
Sc 0.8273 0.6022 0.1423
Sc 0.9085 0.9085 0.7007
Tl 0.5000 0.5000 0.5000

(3)
Material: Sm2Sc3Tl4
Method: DFT, GGA-PBE
State: relaxed

Results
* energy of formation: -0.24 eV per atom

a b c (Å): 8.8602 8.8602 8.7134
angles (deg): 90.00 90.00 134.87
Fractional positions:
Sm 0.1116 0.8884 0.9190
Sm 0.3884 0.6116 0.4190
Sm 0.6116 0.3884 0.5810
Sm 0.8884 0.1116 0.0810
Sc 0.0000 0.0000 0.5000
Sc 0.0339 0.4661 0.7500
Sc 0.4661 0.0339 0.2500
Sc 0.5000 0.5000 0.0000
Sc 0.5339 0.9661 0.7500
Sc 0.9661 0.5339 0.2500
Tl 0.1834 0.8166 0.5445
Tl 0.2114 0.2886 0.7500
Tl 0.2886 0.2114 0.2500
Tl 0.3166 0.6834 0.0445
Tl 0.6834 0.3166 0.9555
Tl 0.7114 0.7886 0.7500
Tl 0.7886 0.7114 0.2500
Tl 0.8166 0.1834 0.4555

(4)
Material: Tb3Np
Method: DFT, GGA-PBE
State: relaxed

Results
* energy of formation: 0.38 eV per atom
* offset from the most stable computed form: 3 meV/atom

a b c (Å): 4.9545 4.9545 4.9545
angles (deg): 90.00 90.00 90.00
Fractional positions:
Tb 0.0000 0.0000 0.5000
Tb 0.0000 0.5000 0.0000
Tb 0.5000 0.0000 0.0000
Np 0.5000 0.5000 0.5000

(5)
Material: Li3CuSb3
Method: DFT, GGA-PBE
State: relaxed

Results
* raw formation energy: -2.2 eV/f.u.

a b c (Å): 5.5870 5.5870 14.2862
angles (deg): 105.72 105.72 46.40
Fractional positions:
Li 0.0211 0.0211 0.3783
Li 0.0685 0.0685 0.9127
Li 0.2234 0.2234 0.2402
Li 0.7766 0.7766 0.7598
Li 0.9315 0.9315 0.0873
Li 0.9789 0.9789 0.6217
Cu 0.2661 0.2661 0.6154
Cu 0.7339 0.7339 0.3846
Sb 0.3570 0.3570 0.4533
Sb 0.3699 0.3699 0.9245
Sb 0.4838 0.4838 0.7618
Sb 0.5162 0.5162 0.2382
Sb 0.6301 0.6301 0.0755
Sb 0.6430 0.6430 0.5467

(6)
Material: NdPa2Re9
Method: DFT, GGA-PBE
State: relaxed

Results
* energy of formation: -0.01 eV per atom

a b c (Å): 9.6335 9.6335 9.6335
angles (deg): 31.97 31.97 31.97
Fractional positions:
Nd 0.0000 0.0000 0.0000
Pa 0.1464 0.1464 0.1464
Pa 0.8536 0.8536 0.8536
Re 0.0775 0.5851 0.5851
Re 0.3357 0.3357 0.3357
Re 0.4149 0.4149 0.9225
Re 0.4149 0.9225 0.4149
Re 0.5000 0.5000 0.5000
Re 0.5851 0.0775 0.5851
Re 0.5851 0.5851 0.0775
Re 0.6643 0.6643 0.6643
Re 0.9225 0.4149 0.4149

(7)
Material: Mn3GeS
Method: DFT, GGA-PBE
State: relaxed

Results
* raw formation energy: 1.6 eV/f.u.

a b c (Å): 4.1422 4.1422 4.1422
angles (deg): 90.00 90.00 90.00
Fractional positions:
Mn 0.0000 0.0000 0.5000
Mn 0.0000 0.5000 0.0000
Mn 0.5000 0.0000 0.0000
Ge 0.5000 0.5000 0.5000
S 0.0000 0.0000 0.0000

(8)
Material: BaCd4In8
Method: DFT, GGA-PBE
State: relaxed

Results
* energy of formation: -0.10 eV per atom

a b c (Å): 8.2422 8.2422 8.2422
angles (deg): 97.75 97.75 136.90
Fractional positions:
Ba 0.0000 0.0000 0.0000
Cd 0.0000 0.0000 0.5000
Cd 0.0000 0.5000 0.0000
Cd 0.5000 0.0000 0.0000
Cd 0.5000 0.5000 0.5000
In 0.0000 0.3559 0.3559
In 0.0000 0.6441 0.6441
In 0.2861 0.5000 0.7861
In 0.3559 0.0000 0.3559
In 0.5000 0.2861 0.7861
In 0.5000 0.7139 0.2139
In 0.6441 0.0000 0.6441
In 0.7139 0.5000 0.2139

(9)
Material: Pm5Cd2Ga
Method: DFT, GGA-PBE
State: relaxed

Results
* energy of formation: -0.29 eV per atom

a b c (Å): 6.7198 12.9252 5.3403
angles (deg): 90.00 90.00 90.00
Fractional positions:
Pm 0.0000 0.0000 0.0000
Pm 0.1467 0.3966 0.5000
Pm 0.1516 0.7200 0.0000
Pm 0.3484 0.2200 0.0000
Pm 0.3533 0.8966 0.5000
Pm 0.5000 0.5000 0.0000
Pm 0.6467 0.1034 0.5000
Pm 0.6516 0.7800 0.0000
Pm 0.8484 0.2800 0.0000
Pm 0.8533 0.6034 0.5000
Cd 0.1189 0.1412 0.5000
Cd 0.3811 0.6412 0.5000
Cd 0.6189 0.3588 0.5000
Cd 0.8811 0.8588 0.5000
Ga 0.0000 0.5000 0.0000
Ga 0.5000 0.0000 0.0000

| no. | calculated total energy (eV/cell) |
| --- | --- |
| 1 | -91.25 |
| 2 | -55.09 |
| 3 | -80.14 |
| 4 | -25.30 |
| 5 | -48.74 |
| 6 | -135.97 |
| 7 | -34.70 |
| 8 | -28.84 |
| 9 | -61.79 |